1.
AlNiBi: relaxed, PBE-GGA.

Geometry as POSCAR:
```
AlNiBi
1.0
3.381 0.000 0.000
-1.690 2.928 0.000
0.000 0.000 12.015
Al Ni Bi
2 2 2
Direct
0.000 0.000 0.122
0.000 0.000 0.878
0.333 0.667 0.000
0.333 0.667 0.500
0.667 0.333 0.342
0.667 0.333 0.658
```

Output
E	-0.32288	Ry/atom
symmetry	No. 187
N(E_F)	1.9	states/eV per cell

2.
Ac2PmNd5Sm: relaxed, PBE-GGA.

Geometry as POSCAR:
```
Ac2PmNd5Sm
1.0
2.945 -10.393 0.000
2.945 10.393 0.000
0.000 0.000 11.060
Ac Pm Nd Sm
4 2 10 2
Direct
0.113 0.887 0.500
0.119 0.881 0.091
0.881 0.119 0.591
0.887 0.113 0.000
0.208 0.792 0.776
0.792 0.208 0.276
0.020 0.980 0.793
0.283 0.717 0.077
0.296 0.704 0.469
0.395 0.605 0.792
0.480 0.520 0.510
0.520 0.480 0.010
0.605 0.395 0.292
0.704 0.296 0.969
0.717 0.283 0.577
0.980 0.020 0.293
0.411 0.589 0.231
0.589 0.411 0.731
```

Output
E	-0.32958	Ry/atom
symmetry	No. 36
N(E_F)	25.4	states/eV per cell

3.
Pu3Mg2Rh3: relaxed, PBE-GGA.

Geometry as POSCAR:
```
Pu3Mg2Rh3
1.0
-1.559 2.492 10.573
1.559 -2.492 10.573
1.559 2.492 -10.573
Pu Mg Rh
3 2 3
Direct
0.000 0.000 0.000
0.380 0.880 0.500
0.620 0.120 0.500
0.227 0.227 0.000
0.773 0.773 0.000
0.122 0.622 0.500
0.500 0.500 0.000
0.878 0.378 0.500
```

Output
E	-0.65034	Ry/atom
symmetry	No. 71
N(E_F)	26.6	states/eV per cell

4.
ZrTi2Ru3: relaxed, PBE-GGA.

Geometry as POSCAR:
```
ZrTi2Ru3
1.0
3.135 0.000 0.000
0.000 3.135 0.000
0.000 0.000 9.531
Zr Ti Ru
1 2 3
Direct
0.000 0.000 0.000
0.000 0.000 0.339
0.000 0.000 0.661
0.500 0.500 0.181
0.500 0.500 0.500
0.500 0.500 0.819
```

Output
E	-0.68971	Ry/atom
symmetry	No. 123
N(E_F)	1.6	states/eV per cell